## MgCuAg2 (GGA-PBEsol)

Data for an optimized crystal structure of MgCuAg2. Values from VASP.

```
&SYSTEM
  ibrav = 0, nat = 4, ntyp = 3
/
ATOMIC_SPECIES
Mg 24.30 Mg.upf
Cu 63.55 Cu.upf
Ag 107.87 Ag.upf
CELL_PARAMETERS angstrom
4.613 -1.482 0.000
4.613 1.482 0.000
-1.147 0.000 4.610
ATOMIC_POSITIONS crystal
Mg 0.000 0.000 0.000
Cu 0.500 0.500 0.500
Ag 0.240 0.240 0.741
Ag 0.760 0.760 0.259
```

Values from the calculation:
- E: -3.21 eV/atom
- Energy relative to the elements: -0.18 eV per formula unit